[1]
Entry from Alexandria via LeMat-Bulk: an optimized crystal structure of DyScGa2Ni2 (GGA-PBE).

Space group   P-3m1
DOS at the Fermi energy   4.3 states/eV per cell
Raw total energy   -32.373 eV per cell
Calculated volume   103.74 Å³/f.u.

abc: 4.2608 4.2608 6.5982
angles: 90.00 90.00 120.00
Sites, in units of the cell vectors:
Dy (0.0000, 0.0000, 0.0000)
Sc (0.0000, 0.0000, 0.5000)
Ga (0.3333, 0.6667, 0.2825)
Ga (0.6667, 0.3333, 0.7175)
Ni (0.3333, 0.6667, 0.7119)
Ni (0.6667, 0.3333, 0.2881)

=====

[2]
Entry from Alexandria via LeMat-Bulk: an optimized crystal structure of CaEr2SnO6 (GGA-PBE).

Energy relative to the elements, uncorrected   -2901 meV/atom
Space group   R3
DOS at the Fermi energy   0.0 states/eV per cell
Calculated volume   140.75 Å³/f.u.

abc: 6.0011 6.0011 6.0011
angles: 56.58 56.58 56.58
Sites, in units of the cell vectors:
Ca (0.0000, 0.0000, 0.0000)
Er (0.2783, 0.2783, 0.2783)
Er (0.7820, 0.7820, 0.7820)
Sn (0.4872, 0.4872, 0.4872)
O (0.1045, 0.6656, 0.4029)
O (0.2095, 0.5834, 0.8615)
O (0.4029, 0.1045, 0.6656)
O (0.5834, 0.8615, 0.2095)
O (0.6656, 0.4029, 0.1045)
O (0.8615, 0.2095, 0.5834)

=====

[3]
Entry from Alexandria via LeMat-Bulk: an optimized crystal structure of CaPm8Nd4 (GGA-PBE).

Space group   C2/m
DOS at the Fermi energy   19.2 states/eV per cell
Raw total energy   -58.683 eV per cell
Calculated volume   456.28 Å³/f.u.

abc: 6.3640 6.3640 15.1181
angles: 93.95 93.95 48.36
Sites, in units of the cell vectors:
Ca (0.0000, 0.0000, 0.0000)
Pm (0.0775, 0.0775, 0.7667)
Pm (0.2315, 0.2315, 0.3077)
Pm (0.3059, 0.3059, 0.0802)
Pm (0.4622, 0.4622, 0.6155)
Pm (0.5378, 0.5378, 0.3845)
Pm (0.6941, 0.6941, 0.9198)
Pm (0.7685, 0.7685, 0.6923)
Pm (0.9225, 0.9225, 0.2333)
Nd (0.1535, 0.1535, 0.5386)
Nd (0.3798, 0.3798, 0.8414)
Nd (0.6202, 0.6202, 0.1586)
Nd (0.8465, 0.8465, 0.4614)

=====

[4]
Entry from Alexandria via LeMat-Bulk: an optimized crystal structure of NaIn2CuPb (GGA-PBE).

Space group   P4/mmm
DOS at the Fermi energy   3.5 states/eV per cell
Raw total energy   -14.123 eV per cell
Calculated volume   142.49 Å³/f.u.

abc: 5.1130 5.1130 5.4505
angles: 90.00 90.00 90.00
Sites, in units of the cell vectors:
Na (0.0000, 0.0000, 0.0000)
In (0.0000, 0.5000, 0.5000)
In (0.5000, 0.0000, 0.5000)
Cu (0.5000, 0.5000, 0.5000)
Pb (0.5000, 0.5000, 0.0000)

=====

[5]
Entry from Alexandria via LeMat-Bulk: an optimized crystal structure of SrSmBiI (GGA-PBE).

Energy relative to the elements, uncorrected   -1023 meV/atom
Space group   R-3m
DOS at the Fermi energy   3.6 states/eV per cell
Calculated volume   171.91 Å³/f.u.

abc: 16.4680 16.4680 16.4680
angles: 17.28 17.28 17.28
Sites, in units of the cell vectors:
Sr (0.0915, 0.0915, 0.0915)
Sr (0.9085, 0.9085, 0.9085)
Sm (0.3104, 0.3104, 0.3104)
Sm (0.6896, 0.6896, 0.6896)
Bi (0.3830, 0.3830, 0.3830)
Bi (0.6170, 0.6170, 0.6170)
I (0.2067, 0.2067, 0.2067)
I (0.7933, 0.7933, 0.7933)

=====

[6]
Entry from Alexandria via LeMat-Bulk: an optimized crystal structure of Pm4OsCl5 (GGA-PBE).

Energy relative to the elements, uncorrected   -1575 meV/atom
Space group   C2/m
DOS at the Fermi energy   5.8 states/eV per cell
Calculated volume   309.37 Å³/f.u.

abc: 9.3146 9.3146 8.6940
angles: 105.64 105.64 25.26
Sites, in units of the cell vectors:
Pm (0.0017, 0.0017, 0.2316)
Pm (0.3482, 0.3482, 0.9080)
Pm (0.6518, 0.6518, 0.0920)
Pm (0.9983, 0.9983, 0.7684)
Os (0.5000, 0.5000, 0.0000)
Cl (0.1685, 0.1685, 0.3271)
Cl (0.1712, 0.1712, 0.8672)
Cl (0.5000, 0.5000, 0.5000)
Cl (0.8288, 0.8288, 0.1328)
Cl (0.8315, 0.8315, 0.6729)

=====

[7]
Entry from Alexandria via LeMat-Bulk: an optimized crystal structure of VC2Cl (GGA-PBE).

Energy relative to the elements, uncorrected   1522 meV/atom
Space group   I-42d
DOS at the Fermi energy   11.3 states/eV per cell
Calculated volume   62.02 Å³/f.u.

abc: 5.0517 5.0517 9.7205
angles: 90.00 90.00 90.00
Sites, in units of the cell vectors:
V (0.0000, 0.0000, 0.0000)
V (0.0000, 0.5000, 0.2500)
V (0.5000, 0.0000, 0.7500)
V (0.5000, 0.5000, 0.5000)
C (0.1523, 0.2500, 0.1250)
C (0.2500, 0.6523, 0.3750)
C (0.2500, 0.8477, 0.8750)
C (0.3477, 0.2500, 0.6250)
C (0.6523, 0.7500, 0.6250)
C (0.7500, 0.1523, 0.8750)
C (0.7500, 0.3477, 0.3750)
C (0.8477, 0.7500, 0.1250)
Cl (0.0000, 0.0000, 0.5000)
Cl (0.0000, 0.5000, 0.7500)
Cl (0.5000, 0.0000, 0.2500)
Cl (0.5000, 0.5000, 0.0000)

=====

[8]
Entry from Alexandria via LeMat-Bulk: an optimized crystal structure of KBa3C (GGA-PBE).

Space group   Pm-3m
DOS at the Fermi energy   7.5 states/eV per cell
Raw total energy   -13.639 eV per cell
Calculated volume   224.91 Å³/f.u.

abc: 6.0814 6.0814 6.0814
angles: 90.00 90.00 90.00
Sites, in units of the cell vectors:
K (0.0000, 0.0000, 0.0000)
Ba (0.0000, 0.5000, 0.5000)
Ba (0.5000, 0.0000, 0.5000)
Ba (0.5000, 0.5000, 0.0000)
C (0.5000, 0.5000, 0.5000)

=====

[9]
Entry from Alexandria via LeMat-Bulk: an optimized crystal structure of MnHg2 (GGA-PBE).

Space group   Fd-3m
DOS at the Fermi energy   3.5 states/eV per cell
Raw total energy   -15.732 eV per cell
Calculated volume   67.30 Å³/f.u.

abc: 5.7524 5.7524 5.7524
angles: 60.00 60.00 60.00
Sites, in units of the cell vectors:
Mn (0.1250, 0.1250, 0.1250)
Mn (0.8750, 0.8750, 0.8750)
Hg (0.0000, 0.5000, 0.5000)
Hg (0.5000, 0.0000, 0.5000)
Hg (0.5000, 0.5000, 0.0000)
Hg (0.5000, 0.5000, 0.5000)

=====

[10]
Entry from Alexandria via LeMat-Bulk: an optimized crystal structure of TlBr2Cl (GGA-PBE).

Energy relative to the elements, uncorrected   -94 meV/atom
Space group   F-43m
DOS at the Fermi energy   23.0 states/eV per cell
Calculated volume   116.78 Å³/f.u.

abc: 7.7592 7.7592 7.7592
angles: 90.00 90.00 90.00
Sites, in units of the cell vectors:
Tl (0.0000, 0.0000, 0.0000)
Tl (0.0000, 0.5000, 0.5000)
Tl (0.5000, 0.0000, 0.5000)
Tl (0.5000, 0.5000, 0.0000)
Br (0.0000, 0.0000, 0.5000)
Br (0.0000, 0.5000, 0.0000)
Br (0.2500, 0.2500, 0.2500)
Br (0.2500, 0.7500, 0.7500)
Br (0.5000, 0.0000, 0.0000)
Br (0.5000, 0.5000, 0.5000)
Br (0.7500, 0.2500, 0.7500)
Br (0.7500, 0.7500, 0.2500)
Cl (0.2500, 0.2500, 0.7500)
Cl (0.2500, 0.7500, 0.2500)
Cl (0.7500, 0.2500, 0.2500)
Cl (0.7500, 0.7500, 0.7500)

=====

[11]
Entry from Alexandria via LeMat-Bulk: an optimized crystal structure of NaPrZr2O6 (GGA-PBE).

Energy relative to the elements, uncorrected   -2929 meV/atom
Space group   Fm-3m
DOS at the Fermi energy   0.0 states/eV per cell
Calculated volume   143.94 Å³/f.u.

abc: 5.8825 5.8825 5.8825
angles: 60.00 60.00 60.00
Sites, in units of the cell vectors:
Na (0.0000, 0.0000, 0.0000)
Pr (0.5000, 0.5000, 0.5000)
Zr (0.2500, 0.2500, 0.2500)
Zr (0.7500, 0.7500, 0.7500)
O (0.0000, 0.0000, 0.5000)
O (0.0000, 0.5000, 0.0000)
O (0.0000, 0.5000, 0.5000)
O (0.5000, 0.0000, 0.0000)
O (0.5000, 0.0000, 0.5000)
O (0.5000, 0.5000, 0.0000)

=====

[12]
Entry from Alexandria via LeMat-Bulk: an optimized crystal structure of Zn2CuP (GGA-PBE).

Space group   R3m
DOS at the Fermi energy   7.6 states/eV per cell
Raw total energy   -34.255 eV per cell
Calculated volume   58.61 Å³/f.u.

abc: 2.9736 2.9736 22.9617
angles: 90.00 90.00 120.00
Sites, in units of the cell vectors:
Zn (0.0000, 0.0000, 0.0000)
Zn (0.0000, 0.0000, 0.2450)
Zn (0.3333, 0.6667, 0.6667)
Zn (0.3333, 0.6667, 0.9117)
Zn (0.6667, 0.3333, 0.3333)
Zn (0.6667, 0.3333, 0.5783)
Cu (0.0000, 0.0000, 0.7528)
Cu (0.3333, 0.6667, 0.4195)
Cu (0.6667, 0.3333, 0.0861)
P (0.0000, 0.0000, 0.4919)
P (0.3333, 0.6667, 0.1586)
P (0.6667, 0.3333, 0.8252)